Material: KSc2Re
Method: DFT, meta-GGA SCAN
State: PBEsol geometry

Cell and atoms, written as CIF:
```
data_KSc2Re
_cell_length_a 3.590
_cell_length_b 3.590
_cell_length_c 8.395
_cell_angle_alpha 90.00
_cell_angle_beta 90.00
_cell_angle_gamma 90.00
_symmetry_space_group_name_H-M 'P 4 m m'
_symmetry_Int_Tables_number 99
_symmetry_space_group_name_Hall 'P 4 -2'
loop_
_atom_site_label
_atom_site_type_symbol
_atom_site_fract_x
_atom_site_fract_y
_atom_site_fract_z
_atom_site_occupancy
K1 K 0.000 0.000 0.000 1
Sc1 Sc 0.000 0.000 0.402 1
Sc2 Sc 0.500 0.500 0.612 1
Re1 Re 0.500 0.500 0.307 1
```

Results
Energy above the most stable polymorph in this dataset = 160 meV per atom
Energy of formation = 530 meV per atom



Material: K2ScRe
Method: DFT, meta-GGA SCAN
State: PBEsol geometry

Cell and atoms, written as CIF:
```
data_K2ScRe
_cell_length_a 4.646
_cell_length_b 4.646
_cell_length_c 5.461
_cell_angle_alpha 90.00
_cell_angle_beta 90.00
_cell_angle_gamma 90.00
_symmetry_space_group_name_H-M 'P 4/m m m'
_symmetry_Int_Tables_number 123
_symmetry_space_group_name_Hall '-P 4 2'
loop_
_atom_site_label
_atom_site_type_symbol
_atom_site_fract_x
_atom_site_fract_y
_atom_site_fract_z
_atom_site_occupancy
K1 K 0.000 0.000 0.243 1
Sc1 Sc 0.500 0.500 0.500 1
Re1 Re 0.500 0.500 0.000 1
```

Results
Energy above the most stable polymorph in this dataset = 936 meV per atom
Energy of formation = 1643 meV per atom



Material: KSc2Re
Method: DFT, meta-GGA SCAN
State: PBEsol geometry

Cell and atoms, written as CIF:
```
data_KSc2Re
_cell_length_a 7.607
_cell_length_b 3.201
_cell_length_c 9.256
_cell_angle_alpha 90.00
_cell_angle_beta 94.87
_cell_angle_gamma 90.00
_symmetry_space_group_name_H-M 'C 1 2/m 1'
_symmetry_Int_Tables_number 12
_symmetry_space_group_name_Hall '-C 2y'
loop_
_atom_site_label
_atom_site_type_symbol
_atom_site_fract_x
_atom_site_fract_y
_atom_site_fract_z
_atom_site_occupancy
K1 K 0.000 0.000 0.000 1
Sc1 Sc 0.225 0.000 0.649 1
Re1 Re 0.000 0.500 0.500 1
```

Results
Energy above the most stable polymorph in this dataset = 0 meV per atom
Energy of formation = 370 meV per atom



Material: K2ScRe
Method: DFT, meta-GGA SCAN
State: PBEsol geometry

Cell and atoms, written as CIF:
```
data_K2ScRe
_cell_length_a 2.840
_cell_length_b 5.544
_cell_length_c 6.153
_cell_angle_alpha 90.00
_cell_angle_beta 90.00
_cell_angle_gamma 90.00
_symmetry_space_group_name_H-M 'P m m m'
_symmetry_Int_Tables_number 47
_symmetry_space_group_name_Hall '-P 2 2'
loop_
_atom_site_label
_atom_site_type_symbol
_atom_site_fract_x
_atom_site_fract_y
_atom_site_fract_z
_atom_site_occupancy
K1 K 0.000 0.242 0.000 1
Sc1 Sc 0.500 0.500 0.500 1
Re1 Re 0.500 0.000 0.500 1
```

Results
Energy above the most stable polymorph in this dataset = 607 meV per atom
Energy of formation = 1315 meV per atom



Material: KScRe
Method: DFT, meta-GGA SCAN
State: PBEsol geometry

Cell and atoms, written as CIF:
```
data_KScRe
_cell_length_a 3.284
_cell_length_b 4.788
_cell_length_c 16.830
_cell_angle_alpha 90.00
_cell_angle_beta 90.00
_cell_angle_gamma 90.00
_symmetry_space_group_name_H-M 'F m m 2'
_symmetry_Int_Tables_number 42
_symmetry_space_group_name_Hall 'F 2 -2'
loop_
_atom_site_label
_atom_site_type_symbol
_atom_site_fract_x
_atom_site_fract_y
_atom_site_fract_z
_atom_site_occupancy
K1 K 0.000 0.000 0.000 1
Sc1 Sc 0.000 0.000 0.288 1
Re1 Re 0.000 0.000 0.668 1
```

Results
Energy above the most stable polymorph in this dataset = 0 meV per atom
Energy of formation = 776 meV per atom



Material: KScRe2
Method: DFT, meta-GGA SCAN
State: PBEsol geometry

Cell and atoms, written as CIF:
```
data_KScRe2
_cell_length_a 2.668
_cell_length_b 2.668
_cell_length_c 10.390
_cell_angle_alpha 90.00
_cell_angle_beta 90.00
_cell_angle_gamma 90.00
_symmetry_space_group_name_H-M 'P 4/m m m'
_symmetry_Int_Tables_number 123
_symmetry_space_group_name_Hall '-P 4 2'
loop_
_atom_site_label
_atom_site_type_symbol
_atom_site_fract_x
_atom_site_fract_y
_atom_site_fract_z
_atom_site_occupancy
K1 K 0.000 0.000 0.000 1
Sc1 Sc 0.000 0.000 0.500 1
Re1 Re 0.500 0.500 0.283 1
```

Results
Energy of formation = 756 meV per atom



Material: KScRe
Method: DFT, meta-GGA SCAN
State: PBEsol geometry

Cell and atoms, written as CIF:
```
data_KScRe
_cell_length_a 6.655
_cell_length_b 6.655
_cell_length_c 6.655
_cell_angle_alpha 90.00
_cell_angle_beta 90.00
_cell_angle_gamma 90.00
_symmetry_space_group_name_H-M 'F -4 3 m'
_symmetry_Int_Tables_number 216
_symmetry_space_group_name_Hall 'F -4 2 3'
loop_
_atom_site_label
_atom_site_type_symbol
_atom_site_fract_x
_atom_site_fract_y
_atom_site_fract_z
_atom_site_occupancy
K1 K 0.000 0.000 0.000 1
Sc1 Sc 0.250 0.250 0.750 1
Re1 Re 0.000 0.000 0.500 1
```

Results
Energy above the most stable polymorph in this dataset = 1194 meV per atom
Energy of formation = 1970 meV per atom



Material: K2ReSe
Method: DFT, meta-GGA SCAN
State: PBEsol geometry

Cell and atoms, written as CIF:
```
data_K2ReSe
_cell_length_a 2.791
_cell_length_b 5.305
_cell_length_c 5.800
_cell_angle_alpha 90.00
_cell_angle_beta 90.00
_cell_angle_gamma 90.00
_symmetry_space_group_name_H-M 'P m m m'
_symmetry_Int_Tables_number 47
_symmetry_space_group_name_Hall '-P 2 2'
loop_
_atom_site_label
_atom_site_type_symbol
_atom_site_fract_x
_atom_site_fract_y
_atom_site_fract_z
_atom_site_occupancy
K1 K 0.000 0.000 0.245 1
Re1 Re 0.500 0.500 0.500 1
Se1 Se 0.500 0.500 0.000 1
```

Results
Total DFT energy (no corrections) = -104.51 eV per formula unit



Material: KRe2Se
Method: DFT, meta-GGA SCAN
State: PBEsol geometry

Cell and atoms, written as CIF:
```
data_KRe2Se
_cell_length_a 2.840
_cell_length_b 4.480
_cell_length_c 6.733
_cell_angle_alpha 90.00
_cell_angle_beta 90.00
_cell_angle_gamma 90.00
_symmetry_space_group_name_H-M 'P m m m'
_symmetry_Int_Tables_number 47
_symmetry_space_group_name_Hall '-P 2 2'
loop_
_atom_site_label
_atom_site_type_symbol
_atom_site_fract_x
_atom_site_fract_y
_atom_site_fract_z
_atom_site_occupancy
K1 K 0.000 0.000 0.000 1
Re1 Re 0.500 0.500 0.335 1
Se1 Se 0.000 0.000 0.500 1
```

Results
Total DFT energy (no corrections) = -165.04 eV per formula unit



Material: KRe2Se
Method: DFT, meta-GGA SCAN
State: PBEsol geometry

Cell and atoms, written as CIF:
```
data_KRe2Se
_cell_length_a 6.471
_cell_length_b 6.471
_cell_length_c 6.471
_cell_angle_alpha 90.00
_cell_angle_beta 90.00
_cell_angle_gamma 90.00
_symmetry_space_group_name_H-M 'F -4 3 m'
_symmetry_Int_Tables_number 216
_symmetry_space_group_name_Hall 'F -4 2 3'
loop_
_atom_site_label
_atom_site_type_symbol
_atom_site_fract_x
_atom_site_fract_y
_atom_site_fract_z
_atom_site_occupancy
K1 K 0.000 0.000 0.000 1
Re1 Re 0.000 0.000 0.500 1
Re2 Re 0.250 0.250 0.750 1
Se1 Se 0.250 0.250 0.250 1
```

Results
Total DFT energy (no corrections) = -165.22 eV per formula unit



Material: K2ReSe
Method: DFT, meta-GGA SCAN
State: PBEsol geometry

Cell and atoms, written as CIF:
```
data_K2ReSe
_cell_length_a 7.147
_cell_length_b 4.127
_cell_length_c 9.739
_cell_angle_alpha 90.00
_cell_angle_beta 102.32
_cell_angle_gamma 90.00
_symmetry_space_group_name_H-M 'C 1 m 1'
_symmetry_Int_Tables_number 8
_symmetry_space_group_name_Hall 'C -2y'
loop_
_atom_site_label
_atom_site_type_symbol
_atom_site_fract_x
_atom_site_fract_y
_atom_site_fract_z
_atom_site_occupancy
K1 K 0.000 0.000 0.000 1
K2 K 0.155 0.000 0.536 1
Re1 Re 0.244 0.500 0.268 1
Se1 Se 0.411 0.000 0.268 1
```

Results
Total DFT energy (no corrections) = -106.26 eV per formula unit



Material: K2ReTeSe
Method: DFT, meta-GGA SCAN
State: PBEsol geometry

Cell and atoms, written as CIF:
```
data_K2ReTeSe
_cell_length_a 6.529
_cell_length_b 6.529
_cell_length_c 4.531
_cell_angle_alpha 90.00
_cell_angle_beta 90.00
_cell_angle_gamma 90.00
_symmetry_space_group_name_H-M 'P 4/m m m'
_symmetry_Int_Tables_number 123
_symmetry_space_group_name_Hall '-P 4 2'
loop_
_atom_site_label
_atom_site_type_symbol
_atom_site_fract_x
_atom_site_fract_y
_atom_site_fract_z
_atom_site_occupancy
K1 K 0.000 0.500 0.000 1
Re1 Re 0.000 0.000 0.000 1
Te1 Te 0.500 0.500 0.500 1
Se1 Se 0.000 0.000 0.500 1
```

Results
Total DFT energy (no corrections) = -143.24 eV per formula unit



Material: K2ReSi
Method: DFT, meta-GGA SCAN
State: PBEsol geometry

Cell and atoms, written as CIF:
```
data_K2ReSi
_cell_length_a 5.265
_cell_length_b 11.289
_cell_length_c 2.736
_cell_angle_alpha 90.00
_cell_angle_beta 90.00
_cell_angle_gamma 90.00
_symmetry_space_group_name_H-M 'C m m m'
_symmetry_Int_Tables_number 65
_symmetry_space_group_name_Hall '-C 2 2'
loop_
_atom_site_label
_atom_site_type_symbol
_atom_site_fract_x
_atom_site_fract_y
_atom_site_fract_z
_atom_site_occupancy
K1 K 0.250 0.250 0.000 1
Re1 Re 0.000 0.000 0.500 1
Si1 Si 0.000 0.500 0.500 1
```

Results
Total DFT energy (no corrections) = -93.21 eV per formula unit



Material: K2SrRe
Method: DFT, meta-GGA SCAN
State: PBEsol geometry

Cell and atoms, written as CIF:
```
data_K2SrRe
_cell_length_a 6.592
_cell_length_b 12.965
_cell_length_c 3.005
_cell_angle_alpha 90.00
_cell_angle_beta 115.94
_cell_angle_gamma 90.00
_symmetry_space_group_name_H-M 'C 1 2/m 1'
_symmetry_Int_Tables_number 12
_symmetry_space_group_name_Hall '-C 2y'
loop_
_atom_site_label
_atom_site_type_symbol
_atom_site_fract_x
_atom_site_fract_y
_atom_site_fract_z
_atom_site_occupancy
K1 K 0.250 0.250 0.000 1
Sr1 Sr 0.000 0.000 0.500 1
Re1 Re 0.000 0.500 0.500 1
```

Results
Energy above the most stable polymorph in this dataset = 160 meV per atom
Energy of formation = 1445 meV per atom



Material: K2SrRe
Method: DFT, meta-GGA SCAN
State: PBEsol geometry

Cell and atoms, written as CIF:
```
data_K2SrRe
_cell_length_a 3.007
_cell_length_b 3.007
_cell_length_c 13.234
_cell_angle_alpha 90.00
_cell_angle_beta 90.00
_cell_angle_gamma 90.00
_symmetry_space_group_name_H-M 'P 4/m m m'
_symmetry_Int_Tables_number 123
_symmetry_space_group_name_Hall '-P 4 2'
loop_
_atom_site_label
_atom_site_type_symbol
_atom_site_fract_x
_atom_site_fract_y
_atom_site_fract_z
_atom_site_occupancy
K1 K 0.000 0.000 0.202 1
Sr1 Sr 0.500 0.500 0.500 1
Re1 Re 0.500 0.500 0.000 1
```

Results
Energy above the most stable polymorph in this dataset = 200 meV per atom
Energy of formation = 1485 meV per atom



DOS(E_F) for the records above, in order: 0.660, 1.062, 0.655, 0.963, 1.055, 0.681, 1.161, 0.834, 0.770, 0.454, 0.762, 0.586, 0.474, 0.753, 0.901 states/eV/atom